VASP calculation (PBE-GGA) on a relaxed LiSm2Pt crystal.

abc: 4.1773 4.1773 24.6223
angles: 90.00 90.00 120.00
Last column: nearest neighbours and their distance in Å.
Space group R-3m (No. 166, hexagonal axes)
One atom of each set of equivalent atoms:
Li 0.0000 0.0000 0.0000 x3  6 Sm 3.54
Sm 0.0000 0.0000 0.2282 x6  3 Pt 2.85
Pt 0.0000 0.0000 0.5000 x3  6 Sm 2.85

Calculated values
* total magnetic moment: 0.0 μB/f.u.
* E_form: -0.44 eV/atom